# Ac3Ga3Ge8

A geometry-optimized Ac3Ga3Ge8 structure (GGA-PBE, Alexandria).

Cell and atoms, written as POSCAR:
```
Ac3Ga3Ge8
1.0
4.691 0.000 0.000
2.346 8.512 -0.019
2.346 2.299 8.196
Ac Ga Ge
3 3 8
Direct
0.500 0.500 0.500 Ac
0.811 0.189 0.189 Ac
0.189 0.811 0.811 Ac
0.500 0.000 0.000 Ga
0.000 0.795 0.205 Ga
0.000 0.205 0.795 Ga
0.640 0.088 0.633 Ge
0.360 0.912 0.367 Ge
0.640 0.633 0.088 Ge
0.360 0.367 0.912 Ge
0.840 0.803 0.516 Ge
0.160 0.197 0.484 Ge
0.840 0.516 0.803 Ge
0.160 0.484 0.197 Ge
```

Properties
E_form = -325.9 meV per atom
Total moment = 0.00 μB/cell
V = 23.39 Å³/atom

# Ac3Ga8Ge3

A geometry-optimized Ac3Ga8Ge3 structure (GGA-PBE, Alexandria).

Cell and atoms, written as POSCAR:
```
Ac3Ga8Ge3
1.0
-2.506 2.336 -3.097
-8.270 -0.616 2.784
-2.101 7.526 3.934
Ac Ga Ge
3 8 3
Direct
0.500 0.500 0.500 Ac
0.831 0.169 0.169 Ac
0.169 0.831 0.831 Ac
0.646 0.090 0.618 Ga
0.354 0.910 0.382 Ga
0.646 0.618 0.090 Ga
0.354 0.382 0.910 Ga
0.831 0.799 0.538 Ga
0.169 0.201 0.462 Ga
0.831 0.538 0.799 Ga
0.169 0.462 0.201 Ga
0.500 0.000 0.000 Ge
0.000 0.768 0.232 Ge
0.000 0.232 0.768 Ge
```

Properties
E_form = -421.5 meV per atom
Total moment = 0.00 μB/cell
V = 22.69 Å³/atom

# Ac3GaGe2

A geometry-optimized Ac3GaGe2 structure (GGA-PBE, Alexandria).

Cell and atoms, written as POSCAR:
```
Ac3GaGe2
1.0
4.483 0.000 0.000
0.000 12.956 0.000
0.000 0.000 12.730
Ac Ga Ge
12 4 8
Direct
0.250 0.381 0.063 Ac
0.750 0.619 0.937 Ac
0.750 0.881 0.437 Ac
0.250 0.119 0.563 Ac
0.250 0.703 0.202 Ac
0.750 0.297 0.798 Ac
0.750 0.203 0.298 Ac
0.250 0.797 0.702 Ac
0.250 0.444 0.379 Ac
0.750 0.556 0.621 Ac
0.750 0.944 0.121 Ac
0.250 0.056 0.879 Ac
0.250 0.136 0.131 Ga
0.750 0.864 0.869 Ga
0.750 0.636 0.369 Ga
0.250 0.364 0.631 Ga
0.250 0.687 0.477 Ge
0.750 0.313 0.523 Ge
0.750 0.187 0.023 Ge
0.250 0.813 0.977 Ge
0.250 0.011 0.309 Ge
0.750 0.989 0.691 Ge
0.750 0.511 0.191 Ge
0.250 0.489 0.809 Ge
```

Properties
E_form = -624.3 meV per atom
Offset from the most stable computed form = 0.000 eV/atom
Total moment = 0.27 μB/cell
V = 30.80 Å³/atom

# Ac12GaGe7

A geometry-optimized Ac12GaGe7 structure (GGA-PBE, Alexandria).

Cell and atoms, written as POSCAR:
```
Ac12GaGe7
1.0
9.884 -0.369 -0.553
-3.102 9.391 -0.553
-3.102 -4.128 8.454
Ac Ga Ge
12 1 7
Direct
0.881 0.340 0.736 Ac
0.660 0.264 0.119 Ac
0.397 0.102 0.316 Ac
0.898 0.684 0.603 Ac
0.264 0.119 0.660 Ac
0.684 0.603 0.898 Ac
0.316 0.397 0.102 Ac
0.736 0.881 0.340 Ac
0.102 0.316 0.397 Ac
0.603 0.898 0.684 Ac
0.340 0.736 0.881 Ac
0.119 0.660 0.264 Ac
0.000 0.000 0.000 Ga
0.057 0.733 0.969 Ge
0.267 0.031 0.943 Ge
0.031 0.943 0.267 Ge
0.500 0.500 0.500 Ge
0.969 0.057 0.733 Ge
0.733 0.969 0.057 Ge
0.943 0.267 0.031 Ge
```

Properties
E_form = -383.2 meV per atom
Total moment = 0.00 μB/cell
V = 36.43 Å³/atom

# AcGaGe2

A geometry-optimized AcGaGe2 structure (GGA-PBE, Alexandria).

Cell and atoms, written as POSCAR:
```
AcGaGe2
1.0
4.733 0.000 0.000
0.000 7.217 0.000
0.000 0.000 11.386
Ac Ga Ge
4 4 8
Direct
0.750 0.676 0.631 Ac
0.250 0.824 0.131 Ac
0.250 0.324 0.369 Ac
0.750 0.176 0.869 Ac
0.750 0.988 0.371 Ga
0.250 0.512 0.871 Ga
0.250 0.012 0.629 Ga
0.750 0.488 0.129 Ga
0.750 0.194 0.581 Ge
0.250 0.306 0.081 Ge
0.250 0.806 0.419 Ge
0.750 0.694 0.919 Ge
0.750 0.634 0.334 Ge
0.250 0.866 0.834 Ge
0.250 0.366 0.666 Ge
0.750 0.134 0.166 Ge
```

Properties
E_form = -461.7 meV per atom
Offset from the most stable computed form = 0.000 eV/atom
Total moment = 0.00 μB/cell
V = 24.31 Å³/atom

# Ac3GaGe4

A geometry-optimized Ac3GaGe4 structure (GGA-PBE, Alexandria).

Cell and atoms, written as POSCAR:
```
Ac3GaGe4
1.0
-3.031 -3.317 -1.804
1.100 -3.597 4.767
-5.140 6.870 2.502
Ac Ga Ge
3 1 4
Direct
0.188 0.188 0.375 Ac
0.812 0.812 0.625 Ac
0.000 0.500 0.000 Ac
0.500 0.000 0.000 Ga
0.377 0.583 0.755 Ge
0.623 0.417 0.245 Ge
0.623 0.829 0.245 Ge
0.377 0.171 0.755 Ge
```

Properties
E_form = -540.4 meV per atom
Total moment = 0.00 μB/cell
V = 29.59 Å³/atom